! PBE with a Hubbard U Na2Mo3O13, relaxed; values from VASP
&SYSTEM
  ibrav = 0, nat = 18, ntyp = 3
/
ATOMIC_SPECIES
Na 22.99 Na.upf
Mo 95.94 Mo.upf
O 16.00 O.upf
ATOMIC_POSITIONS crystal
Na 0.000 0.000 0.000
Na 0.675 0.675 0.684
Mo 0.443 0.443 0.260
Mo 0.736 0.736 0.139
Mo 0.952 0.952 0.563
O 0.073 0.073 0.629
O 0.238 0.238 0.417
O 0.255 0.255 0.638
O 0.284 0.284 0.179
O 0.427 0.427 0.076
O 0.440 0.440 0.493
O 0.565 0.565 0.392
O 0.620 0.620 0.085
O 0.721 0.721 0.954
O 0.809 0.809 0.388
O 0.839 0.839 0.770
O 0.914 0.914 0.272
O 0.963 0.963 0.742
CELL_PARAMETERS angstrom
8.608 -1.877 0.000
8.608 1.877 0.000
-5.957 0.000 8.343
! - Crystal system: monoclinic
! - E_tot: -5.877 eV per atom
! - Total magnetization: 5.97 μB per cell
! - Symmetry: No. 8
! - ΔE to the lowest computed polymorph: 4.235 eV per formula unit